Entry from the Alexandria database: Hf8Tl after structural relaxation (GGA-PBE).

a b c (Å): 4.3503 7.1421 7.1421
angles (deg): 84.68 72.27 72.27
Fractional positions:
1 Hf 0.6699 0.6603 0.0000
2 Hf 0.0000 0.6632 0.3368
3 Hf 0.6632 0.3368 0.3368
4 Hf 0.0000 0.3368 0.6632
5 Hf 0.3301 0.0000 0.3397
6 Hf 0.6699 0.0000 0.6603
7 Hf 0.3301 0.3397 0.0000
8 Hf 0.3368 0.6632 0.6632
9 Tl 0.0000 0.0000 0.0000

ΔH_f (0 K) ... 0.009 eV/atom
Raw total energy ... -9.1012 eV/atom